Entry 1:
# ZrNb2HgN PBE-GGA relaxed
data_ZrNb2HgN
_space_group_name_H-M_alt 'P 1'
_space_group_IT_number 1
_cell_length_a 4.280
_cell_length_b 4.280
_cell_length_c 4.603
_cell_angle_alpha 90.00
_cell_angle_beta 90.00
_cell_angle_gamma 90.00
loop_
_space_group_symop_operation_xyz
'x,y,z'
loop_
_atom_site_label
_atom_site_type_symbol
_atom_site_fract_x
_atom_site_fract_y
_atom_site_fract_z
_atom_site_occupancy
Zr1 Zr 0.000 0.000 0.000 1
Nb1 Nb 0.000 0.500 0.500 1
Nb2 Nb 0.500 0.000 0.500 1
Hg1 Hg 0.500 0.500 0.000 1
N1 N 0.000 0.000 0.500 1
# ρ, g cm⁻³: 9.69
# Uncorrected energy, Ha/atom: -0.2935
# N(E_F), states/eV/f.u.: 3.7
# Space-group type: No. 123
# ΔE_f (raw), eV/atom: -0.522


Entry 2:
# Zr2NbHgN PBE-GGA relaxed
data_Zr2NbHgN
_space_group_name_H-M_alt 'P 1'
_space_group_IT_number 1
_cell_length_a 4.592
_cell_length_b 4.592
_cell_length_c 4.190
_cell_angle_alpha 90.00
_cell_angle_beta 90.00
_cell_angle_gamma 90.00
loop_
_space_group_symop_operation_xyz
'x,y,z'
loop_
_atom_site_label
_atom_site_type_symbol
_atom_site_fract_x
_atom_site_fract_y
_atom_site_fract_z
_atom_site_occupancy
Zr1 Zr 0.000 0.500 0.000 1
Zr2 Zr 0.500 0.000 0.000 1
Nb1 Nb 0.000 0.000 0.500 1
Hg1 Hg 0.500 0.500 0.500 1
N1 N 0.000 0.000 0.000 1
# ρ, g cm⁻³: 9.21
# Uncorrected energy, Ha/atom: -0.2886
# N(E_F), states/eV/f.u.: 2.8
# Space-group type: No. 123
# ΔE_f (raw), eV/atom: -0.693


Entry 3:
# Nd4HgN2 PBE-GGA relaxed
data_Nd4HgN2
_space_group_name_H-M_alt 'P 1'
_space_group_IT_number 1
_cell_length_a 14.556
_cell_length_b 14.556
_cell_length_c 14.556
_cell_angle_alpha 14.48
_cell_angle_beta 14.48
_cell_angle_gamma 14.48
loop_
_space_group_symop_operation_xyz
'x,y,z'
loop_
_atom_site_label
_atom_site_type_symbol
_atom_site_fract_x
_atom_site_fract_y
_atom_site_fract_z
_atom_site_occupancy
Nd1 Nd 0.124 0.124 0.124 1
Nd2 Nd 0.274 0.274 0.274 1
Nd3 Nd 0.726 0.726 0.726 1
Nd4 Nd 0.876 0.876 0.876 1
Hg1 Hg 0.000 0.000 0.000 1
N1 N 0.427 0.427 0.427 1
N2 N 0.573 0.573 0.573 1
# ρ, g cm⁻³: 7.97
# Uncorrected energy, Ha/atom: -0.2202
# N(E_F), states/eV/f.u.: 6.5
# Space-group type: No. 166
# ΔE_f (raw), eV/atom: -0.845


Entry 4:
# Nd5Hg2N2 PBE-GGA relaxed
data_Nd5Hg2N2
_space_group_name_H-M_alt 'P 1'
_space_group_IT_number 1
_cell_length_a 10.711
_cell_length_b 10.711
_cell_length_c 10.711
_cell_angle_alpha 56.58
_cell_angle_beta 140.23
_cell_angle_gamma 141.46
loop_
_space_group_symop_operation_xyz
'x,y,z'
loop_
_atom_site_label
_atom_site_type_symbol
_atom_site_fract_x
_atom_site_fract_y
_atom_site_fract_z
_atom_site_occupancy
Nd1 Nd 0.007 0.122 0.386 1
Nd2 Nd 0.222 0.405 0.094 1
Nd3 Nd 0.222 0.627 0.317 1
Nd4 Nd 0.246 0.011 0.257 1
Nd5 Nd 0.246 0.489 0.735 1
Nd6 Nd 0.311 0.127 0.906 1
Nd7 Nd 0.311 0.905 0.683 1
Nd8 Nd 0.736 0.622 0.614 1
Nd9 Nd 0.754 0.511 0.265 1
Nd10 Nd 0.754 0.989 0.743 1
Hg1 Hg 0.728 0.138 0.378 1
Hg2 Hg 0.728 0.850 0.090 1
Hg3 Hg 0.760 0.350 0.622 1
Hg4 Hg 0.760 0.638 0.910 1
N1 N 0.125 0.956 0.669 1
N2 N 0.251 0.251 0.000 1
N3 N 0.251 0.751 0.500 1
N4 N 0.286 0.456 0.331 1
# ρ, g cm⁻³: 7.86
# Uncorrected energy, Ha/atom: -0.1955
# N(E_F), states/eV/f.u.: 6.1
# Space-group type: No. 46
# ΔE_f (raw), eV/atom: -0.754


Entry 5:
# Nd12Hg5N2 PBE-GGA relaxed
data_Nd12Hg5N2
_space_group_name_H-M_alt 'P 1'
_space_group_IT_number 1
_cell_length_a 10.110
_cell_length_b 10.110
_cell_length_c 8.754
_cell_angle_alpha 113.91
_cell_angle_beta 113.91
_cell_angle_gamma 43.30
loop_
_space_group_symop_operation_xyz
'x,y,z'
loop_
_atom_site_label
_atom_site_type_symbol
_atom_site_fract_x
_atom_site_fract_y
_atom_site_fract_z
_atom_site_occupancy
Nd1 Nd 0.005 0.005 0.301 1
Nd2 Nd 0.101 0.608 0.344 1
Nd3 Nd 0.102 0.604 0.853 1
Nd4 Nd 0.392 0.899 0.656 1
Nd5 Nd 0.396 0.898 0.147 1
Nd6 Nd 0.488 0.488 0.664 1
Nd7 Nd 0.512 0.512 0.336 1
Nd8 Nd 0.604 0.102 0.853 1
Nd9 Nd 0.608 0.101 0.344 1
Nd10 Nd 0.898 0.396 0.147 1
Nd11 Nd 0.899 0.392 0.656 1
Nd12 Nd 0.995 0.995 0.699 1
Hg1 Hg 0.248 0.248 0.000 1
Hg2 Hg 0.248 0.248 0.496 1
Hg3 Hg 0.500 0.500 0.000 1
Hg4 Hg 0.752 0.752 0.000 1
Hg5 Hg 0.752 0.752 0.504 1
N1 N 0.235 0.765 0.500 1
N2 N 0.765 0.235 0.500 1
# ρ, g cm⁻³: 8.30
# Uncorrected energy, Ha/atom: -0.1616
# N(E_F), states/eV/f.u.: 18.7
# Space-group type: No. 12
# ΔE_f (raw), eV/atom: -0.429


Entry 6:
# NdHgN PBE-GGA relaxed
data_NdHgN
_space_group_name_H-M_alt 'P 1'
_space_group_IT_number 1
_cell_length_a 6.479
_cell_length_b 6.479
_cell_length_c 5.105
_cell_angle_alpha 90.00
_cell_angle_beta 90.00
_cell_angle_gamma 146.28
loop_
_space_group_symop_operation_xyz
'x,y,z'
loop_
_atom_site_label
_atom_site_type_symbol
_atom_site_fract_x
_atom_site_fract_y
_atom_site_fract_z
_atom_site_occupancy
Nd1 Nd 0.177 0.823 0.750 1
Nd2 Nd 0.823 0.177 0.250 1
Hg1 Hg 0.447 0.553 0.750 1
Hg2 Hg 0.553 0.447 0.250 1
N1 N 0.208 0.792 0.250 1
N2 N 0.792 0.208 0.750 1
# ρ, g cm⁻³: 10.02
# Uncorrected energy, Ha/atom: -0.1909
# N(E_F), states/eV/f.u.: 0.4
# Space-group type: No. 63
# ΔE_f (raw), eV/atom: -0.731
# Polymorph energy (0 for the lowest one), eV/f.u.: 0.00


Entry 7:
# Nd7Hg2N2 PBE-GGA relaxed
data_Nd7Hg2N2
_space_group_name_H-M_alt 'P 1'
_space_group_IT_number 1
_cell_length_a 6.745
_cell_length_b 6.745
_cell_length_c 7.014
_cell_angle_alpha 90.00
_cell_angle_beta 90.00
_cell_angle_gamma 112.19
loop_
_space_group_symop_operation_xyz
'x,y,z'
loop_
_atom_site_label
_atom_site_type_symbol
_atom_site_fract_x
_atom_site_fract_y
_atom_site_fract_z
_atom_site_occupancy
Nd1 Nd 0.000 0.000 0.000 1
Nd2 Nd 0.000 0.500 0.234 1
Nd3 Nd 0.000 0.500 0.766 1
Nd4 Nd 0.500 0.000 0.234 1
Nd5 Nd 0.500 0.000 0.766 1
Nd6 Nd 0.500 0.500 0.227 1
Nd7 Nd 0.500 0.500 0.773 1
Hg1 Hg 0.182 0.182 0.500 1
Hg2 Hg 0.818 0.818 0.500 1
N1 N 0.231 0.769 0.000 1
N2 N 0.769 0.231 0.000 1
# ρ, g cm⁻³: 8.09
# Uncorrected energy, Ha/atom: -0.1843
# N(E_F), states/eV/f.u.: 11.7
# Space-group type: No. 65
# ΔE_f (raw), eV/atom: -0.413


Entry 8:
# Nd6Hg3N PBE-GGA relaxed
data_Nd6Hg3N
_space_group_name_H-M_alt 'P 1'
_space_group_IT_number 1
_cell_length_a 6.698
_cell_length_b 8.282
_cell_length_c 11.924
_cell_angle_alpha 90.00
_cell_angle_beta 119.44
_cell_angle_gamma 90.00
loop_
_space_group_symop_operation_xyz
'x,y,z'
loop_
_atom_site_label
_atom_site_type_symbol
_atom_site_fract_x
_atom_site_fract_y
_atom_site_fract_z
_atom_site_occupancy
Nd1 Nd 0.074 0.051 0.224 1
Nd2 Nd 0.074 0.449 0.724 1
Nd3 Nd 0.182 0.724 0.064 1
Nd4 Nd 0.182 0.776 0.564 1
Nd5 Nd 0.375 0.145 0.052 1
Nd6 Nd 0.375 0.355 0.552 1
Nd7 Nd 0.625 0.645 0.448 1
Nd8 Nd 0.625 0.855 0.948 1
Nd9 Nd 0.818 0.224 0.436 1
Nd10 Nd 0.818 0.276 0.936 1
Nd11 Nd 0.926 0.551 0.276 1
Nd12 Nd 0.926 0.949 0.776 1
Hg1 Hg 0.318 0.112 0.736 1
Hg2 Hg 0.318 0.388 0.236 1
Hg3 Hg 0.500 0.000 0.500 1
Hg4 Hg 0.500 0.500 0.000 1
Hg5 Hg 0.682 0.612 0.764 1
Hg6 Hg 0.682 0.888 0.264 1
N1 N 0.000 0.000 0.000 1
N2 N 0.000 0.500 0.500 1
# ρ, g cm⁻³: 8.54
# Uncorrected energy, Ha/atom: -0.1575
# N(E_F), states/eV/f.u.: 10.3
# Space-group type: No. 14
# ΔE_f (raw), eV/atom: -0.501